# DyTi2N PBE-GGA optimized geometry
data_DyTi2N
_chemical_formula_sum 'Dy3 Ti6 N3'
_symmetry_space_group_name_H-M 'R -3 m'
_symmetry_Int_Tables_number 166
_symmetry_space_group_name_Hall '-R 3 2"'
_cell_length_a 3.1017
_cell_length_b 3.1017
_cell_length_c 24.7084
_cell_angle_alpha 90.00
_cell_angle_beta 90.00
_cell_angle_gamma 120.00
loop_
_atom_site_label
_atom_site_type_symbol
_atom_site_fract_x
_atom_site_fract_y
_atom_site_fract_z
Dy1 Dy 0.0000 0.0000 0.0000
Ti1 Ti 0.0000 0.0000 0.1230
N1 N 0.0000 0.0000 0.5000
# M_tot in μB/atom: 0.000



# DyTmTiN3 PBE-GGA optimized geometry
data_DyTmTiN3
_chemical_formula_sum 'Dy2 Tm2 Ti2 N6'
_symmetry_space_group_name_H-M 'P 1 21/m 1'
_symmetry_Int_Tables_number 11
_cell_length_a 6.928
_cell_length_b 3.499
_cell_length_c 7.943
_cell_angle_alpha 90.00
_cell_angle_beta 98.87
_cell_angle_gamma 90.00
loop_
_symmetry_equiv_pos_as_xyz
'x,y,z'
'-x,-y,-z'
'-x,y+1/2,-z'
'x,-y+1/2,z'
loop_
_atom_site_label
_atom_site_type_symbol
_atom_site_fract_x
_atom_site_fract_y
_atom_site_fract_z
Dy1 Dy 0.165 0.250 0.149
Tm1 Tm 0.366 0.750 0.844
Ti1 Ti 0.093 0.250 0.605
N1 N 0.099 0.250 0.854
N2 N 0.180 0.750 0.542
N3 N 0.399 0.750 0.134
# M_tot in μB/atom: 0.000



# DyYTiN3 PBE-GGA optimized geometry
data_DyYTiN3
_chemical_formula_sum 'Dy2 Y2 Ti2 N6'
_symmetry_space_group_name_H-M 'P 1 21/m 1'
_symmetry_Int_Tables_number 11
_cell_length_a 7.012
_cell_length_b 3.521
_cell_length_c 7.978
_cell_angle_alpha 90.00
_cell_angle_beta 97.98
_cell_angle_gamma 90.00
loop_
_symmetry_equiv_pos_as_xyz
'x,y,z'
'-x,-y,-z'
'-x,y+1/2,-z'
'x,-y+1/2,z'
loop_
_atom_site_label
_atom_site_type_symbol
_atom_site_fract_x
_atom_site_fract_y
_atom_site_fract_z
Dy1 Dy 0.130 0.250 0.160
Y1 Y 0.339 0.750 0.854
Ti1 Ti 0.408 0.750 0.396
N1 N 0.107 0.250 0.868
N2 N 0.325 0.250 0.460
N3 N 0.404 0.750 0.149
# M_tot in μB/atom: 0.000



no.,ΔE_f (raw) (eV per atom),raw total energy (eV/atom),theoretical density (g/cm³)
1,-0.67,-7.850,6.59
2,-1.39,-8.383,7.36
3,-1.36,-8.688,5.81